Record 1
Here is a geometry-optimized Sc6In5Au structure from the Alexandria database. Energies are from PBE-GGA.

The structure in POSCAR format:
```
Sc6In5Au
1.0
4.359 -0.024 1.453
0.042 8.319 0.014
-0.001 -0.012 7.269
Sc In Au
6 5 1
direct
0.500 0.242 0.000
0.164 0.754 0.671
0.836 0.754 0.329
0.164 0.246 0.671
0.500 0.758 0.000
0.836 0.246 0.329
0.334 0.000 0.332
0.000 0.500 0.000
0.667 0.500 0.666
0.333 0.500 0.334
0.666 0.000 0.668
0.000 0.000 0.000
```

The calculation puts the total moment at 1.43 μB per cell. The space group is Cmmm (65). The value obtained for the density is 6.56 g/cm³. The value obtained for the total energy is -5.06 eV/atom.


Record 2
Here is a geometry-optimized TaNbPd structure from the Alexandria database. Energies are from PBE-GGA.

The structure in POSCAR format:
```
TaNbPd
1.0
2.719 0.000 0.000
0.000 4.713 0.000
0.000 -2.357 4.082
Nb Ta Pd
1 1 1
direct
0.667 0.333 0.667
0.166 0.000 0.000
0.167 0.667 0.333
```

The calculation puts the total moment at 0.00 μB per cell. The space group is P-6m2 (187). The value obtained for the density is 12.07 g/cm³. The polymorph energy (0 for the lowest one) is 80 kJ/mol of formula units. The value obtained for the total energy is -9.03 eV/atom.


Record 3
Here is a geometry-optimized SrLiTl2Ga structure from the Alexandria database. Energies are from PBE-GGA.

The structure in POSCAR format:
```
SrLiTl2Ga
1.0
-3.831 2.732 -2.192
0.428 -2.859 -4.311
-3.350 -3.240 1.816
Tl Li Ga Sr
2 1 1 1
direct
0.500 0.000 0.000
0.000 0.500 0.000
0.000 0.000 0.000
0.000 0.000 0.500
0.500 0.500 0.500
```

The calculation puts the total moment at 0.00 μB per cell. The space group is P4/mmm (123). The value obtained for the density is 7.06 g/cm³. The value obtained for the total energy is -2.42 eV/atom.